Computed, not measured: crystalline AlBiS3 at its relaxed geometry at the PBEsol level of DFT.

Summary:
- V (A^3/atom) = 26.8
- total DFT energy (no corrections) (eV per cell) = -18.93
- total magnetization (μB per formula unit) = 0.001
- formation energy from raw total energies (eV/atom) = 0.52

Cell: 5.119 5.119 5.119 Å, 90.00 90.00 90.00°
Space group Pm-3m (No. 221)
Inequivalent atoms, fractional coordinates:
1 Al 0.000 0.000 0.000 x1
2 Bi 0.500 0.500 0.500 x1
3 S 0.000 0.500 0.500 x3



Computed, not measured: crystalline BaTcIr2 at its relaxed geometry at the PBEsol level of DFT.

Summary:
- V (A^3/atom) = 21.4
- total DFT energy (no corrections) (eV per cell) = -58.92
- formation enthalpy at 0 K (eV/atom) = 0.901
- total magnetization (μB per formula unit) = 0.000

Cell: 3.286 5.561 9.378 Å, 90.00 90.00 90.00°
Space group Immm (No. 71)
Inequivalent atoms, fractional coordinates:
1 Ba 0.000 0.000 0.000 x2
2 Tc 0.000 0.000 0.500 x2
3 Ir 0.000 0.500 0.188 x4



Computed, not measured: crystalline CoRuPt2 at its relaxed geometry at the PBEsol level of DFT.

Summary:
- V (A^3/atom) = 13.5
- total DFT energy (no corrections) (eV per cell) = -94.95
- formation enthalpy at 0 K (eV/atom) = 0.047
- total magnetization (μB per formula unit) = 1.439
- offset from the most stable computed form (meV per atom) = 35

Cell: 2.6789 2.6789 26.1135 Å, 90.00 90.00 120.00°
Space group R3m (No. 160, hexagonal axes)
Inequivalent atoms, fractional coordinates:
1 Co 0.0000 0.0000 0.0000 x3
2 Ru 0.0000 0.0000 0.7412 x3
3 Pt 0.0000 0.0000 0.2526 x3
4 Pt 0.0000 0.0000 0.4941 x3



Among the records above, which one has the highest total DFT energy (no corrections)?
AlBiS3



What is the V in the first record?
26.8 A^3/atom



total DFT energy (no corrections) of number 1 (AlBiS3)?
-18.93 eV per cell